1.
The following is a PBE calculation of a relaxed structure of SiTcSeN2, from Alexandria.

## Properties
Volume in Å³ per cell: 78.9
Mass density in g/cm³: 4.91
N(E_F) in states/eV/f.u.: 4.11

Cell: 3.8444 3.8444 5.3377 Å, 90.00 90.00 90.00°
Fractional positions:
N: 0.5000 0.0000 0.0000
Se: 0.0000 0.0000 0.5000
Tc: 0.0000 0.0000 0.0000
Si: 0.5000 0.5000 0.5000
N: 0.0000 0.5000 0.0000



2.
The following is a PBE calculation of a relaxed structure of SiTcSeN2, from Alexandria.

## Properties
Volume in Å³ per cell: 81.8
Mass density in g/cm³: 4.73
N(E_F) in states/eV/f.u.: 4.19

Cell: 3.4814 3.4814 6.7516 Å, 90.00 90.00 90.00°
Last column: magnetic moment on the atom in μB.
Fractional positions:
Tc: 0.5000 0.5000 0.5000  2.29
Se: 0.0000 0.0000 0.5000  0.05
N: 0.0000 0.5000 0.0000  0.01
Si: 0.0000 0.0000 0.0000  0.00
N: 0.5000 0.0000 0.0000  0.01



Which of them is most stable? Easy: 1.



1.
The following is a PBE calculation of a relaxed structure of SiTcSe2N, from Alexandria.

## Properties
Volume in Å³ per cell: 83.0
Mass density in g/cm³: 5.97
N(E_F) in states/eV/f.u.: 2.83

Cell: 5.0556 5.0556 3.2458 Å, 90.00 90.00 90.00°
Last column: magnetic moment on the atom in μB.
Fractional positions:
Se: 0.5000 0.0000 0.0000  -0.10
N: 0.0000 0.0000 0.5000  0.04
Se: 0.0000 0.5000 0.0000  -0.10
Si: 0.0000 0.0000 0.0000  0.01
Tc: 0.5000 0.5000 0.5000  2.48



2.
The following is a PBE calculation of a relaxed structure of SiTcSe2N, from Alexandria.

## Properties
Volume in Å³ per cell: 94.8
Mass density in g/cm³: 5.22
N(E_F) in states/eV/f.u.: 3.11

Cell: 5.0653 5.0653 3.6945 Å, 90.00 90.00 90.00°
Fractional positions:
Tc: 0.0000 0.0000 0.0000
Se: 0.0000 0.5000 0.0000
N: 0.0000 0.0000 0.5000
Si: 0.5000 0.5000 0.5000
Se: 0.5000 0.0000 0.0000



Which of them is most stable? Easy: 2.



1.
The following is a PBE calculation of a relaxed structure of SiTeSe2N, from Alexandria.

## Properties
Volume in Å³ per cell: 93.0
Mass density in g/cm³: 5.85
N(E_F) in states/eV/f.u.: 3.07

Cell: 5.2773 5.2773 3.3403 Å, 90.00 90.00 90.00°
Fractional positions:
Se: 0.5000 0.0000 0.0000
Se: 0.0000 0.5000 0.0000
Si: 0.0000 0.0000 0.0000
Te: 0.5000 0.5000 0.5000
N: 0.0000 0.0000 0.5000



2.
The following is a PBE calculation of a relaxed structure of SiTeSe2N, from Alexandria.

## Properties
Volume in Å³ per cell: 115.0
Mass density in g/cm³: 4.73
N(E_F) in states/eV/f.u.: 2.76

Cell: 5.4000 5.4000 3.9426 Å, 90.00 90.00 90.00°
Fractional positions:
Se: 0.5000 0.0000 0.0000
Si: 0.5000 0.5000 0.5000
Se: 0.0000 0.5000 0.0000
Te: 0.0000 0.0000 0.0000
N: 0.0000 0.0000 0.5000



Which of them is most stable? Easy: 1.



1.
The following is a PBE calculation of a relaxed structure of TlSiSe2N, from Alexandria.

## Properties
Volume in Å³ per cell: 126.9
Mass density in g/cm³: 5.29
N(E_F) in states/eV/f.u.: 1.99

Cell: 5.4681 5.4681 4.2452 Å, 90.00 90.00 90.00°
Last column: magnetic moment on the atom in μB.
Fractional positions:
Se: 0.0000 0.5000 0.0000  0.18
Se: 0.5000 0.0000 0.0000  0.18
N: 0.0000 0.0000 0.5000  1.07
Tl: 0.0000 0.0000 0.0000  0.01
Si: 0.5000 0.5000 0.5000  -0.02



2.
The following is a PBE calculation of a relaxed structure of TlSiSe2N, from Alexandria.

## Properties
Volume in Å³ per cell: 100.5
Mass density in g/cm³: 6.68
N(E_F) in states/eV/f.u.: 1.65

Cell: 5.5517 5.5517 3.2615 Å, 90.00 90.00 90.00°
Fractional positions:
Se: 0.5000 0.0000 0.0000
N: 0.0000 0.0000 0.5000
Tl: 0.5000 0.5000 0.5000
Se: 0.0000 0.5000 0.0000
Si: 0.0000 0.0000 0.0000



Which of them is most stable? Easy: 2.